Entry 1:
Entry from Alexandria via LeMat-Bulk: crystalline TlCuSCl2 at its relaxed geometry (PBE-GGA).

Cell and atoms, written as POSCAR:
```
TlCuSCl2
1.0
-4.819 0.924 -1.334
-1.617 -3.084 3.705
-0.120 3.492 2.854
S Tl Cl Cu
1 1 2 1
Direct
0.000 0.000 0.500
0.500 0.500 0.500
0.000 0.500 0.000
0.500 0.000 0.000
0.000 0.000 0.000
```

Properties
Energy above the lowest structure with this stoichiometry: 0.000 eV per atom
Formation energy (no corrections): -0.291 eV/atom
M_tot: 1.25 Bohr magnetons per cell
Space-group type: P4/mmm, No. 123



Entry 2:
Entry from Alexandria via LeMat-Bulk: crystalline Nd3Dy6Tm at its relaxed geometry (PBE-GGA).

Cell and atoms, written as POSCAR:
```
Nd3Dy6Tm
1.0
6.107 0.000 -2.478
-1.185 9.177 -2.918
-0.893 -0.586 6.561
Dy Nd Tm
6 3 1
Direct
0.363 0.079 0.727
0.637 0.921 0.273
0.932 0.312 0.372
0.440 0.312 0.372
0.068 0.688 0.628
0.560 0.688 0.628
0.930 0.301 0.859
0.070 0.699 0.141
0.000 0.000 0.000
0.500 0.500 0.000
```

Properties
Energy above the lowest structure with this stoichiometry: 0.078 eV per atom
Formation enthalpy at 0 K: 0.23 eV per atom
M_tot: 0.00 Bohr magnetons per cell
Space-group type: C2/m, No. 12



Entry 3:
Entry from Alexandria via LeMat-Bulk: crystalline ScCd2Au2 at its relaxed geometry (PBE-GGA).

Cell and atoms, written as POSCAR:
```
ScCd2Au2
1.0
8.091 0.000 0.000
0.000 8.091 0.000
0.000 0.000 3.131
Sc Au Cd
2 4 4
Direct
0.000 0.000 0.000
0.500 0.500 0.000
0.175 0.675 0.500
0.325 0.175 0.500
0.825 0.325 0.500
0.675 0.825 0.500
0.874 0.626 0.000
0.626 0.126 0.000
0.126 0.374 0.000
0.374 0.874 0.000
```

Properties
Energy above the lowest structure with this stoichiometry: 0.181 eV per atom
Formation enthalpy at 0 K: -0.22 eV per atom
M_tot: 0.99 Bohr magnetons per cell
Space-group type: P4/mbm, No. 127



Entry 4:
Entry from Alexandria via LeMat-Bulk: crystalline KMg2Cr at its relaxed geometry (PBE-GGA).

Cell and atoms, written as POSCAR:
```
KMg2Cr
1.0
-1.538 -5.117 0.578
-5.204 -1.187 0.630
-2.692 -2.459 -3.948
K Cr Mg
1 1 2
Direct
0.000 0.000 0.000
0.500 0.500 0.500
0.750 0.750 0.750
0.250 0.250 0.250
```

Properties
Energy above the lowest structure with this stoichiometry: 0.168 eV per atom
Formation enthalpy at 0 K: 0.63 eV per atom
M_tot: 4.92 Bohr magnetons per cell
Space-group type: Fm-3m, No. 225



Entry 5:
Entry from Alexandria via LeMat-Bulk: crystalline BaMgTl2 at its relaxed geometry (PBE-GGA).

Cell and atoms, written as POSCAR:
```
BaMgTl2
1.0
5.984 -2.073 -3.801
-1.539 6.142 3.801
-3.994 -0.099 6.211
Mg Tl Ba
1 2 1
Direct
0.000 0.000 0.000
0.000 0.773 0.773
0.000 0.227 0.227
0.000 0.500 0.500
```

Properties
Formation enthalpy at 0 K: 0.05 eV per atom
M_tot: 0.00 Bohr magnetons per cell
Space-group type: Immm, No. 71



Entry 6:
Entry from Alexandria via LeMat-Bulk: crystalline SiH3Rh at its relaxed geometry (PBE-GGA).

Cell and atoms, written as POSCAR:
```
SiH3Rh
1.0
3.527 0.000 0.000
0.000 3.527 0.000
0.000 0.000 3.527
H Si Rh
3 1 1
Direct
0.000 0.000 0.500
0.000 0.500 0.000
0.500 0.000 0.000
0.500 0.500 0.500
0.000 0.000 0.000
```

Properties
Energy above the lowest structure with this stoichiometry: 0.000 eV per atom
M_tot: 0.00 Bohr magnetons per cell
Space-group type: Pm-3m, No. 221



Entry 7:
Entry from Alexandria via LeMat-Bulk: crystalline ErThMg at its relaxed geometry (PBE-GGA).

Cell and atoms, written as POSCAR:
```
ErThMg
1.0
-0.343 -3.447 -0.481
3.072 1.554 -0.612
2.273 -1.342 8.002
Er Mg Th
1 1 1
Direct
0.333 0.667 0.672
0.000 0.000 0.996
0.667 0.333 0.333
```

Properties
Energy above the lowest structure with this stoichiometry: 0.095 eV per atom
Formation enthalpy at 0 K: 0.07 eV per atom
M_tot: 0.00 Bohr magnetons per cell
Space-group type: P3m1, No. 156



Entry 8:
Entry from Alexandria via LeMat-Bulk: crystalline LiNb2Cl6 at its relaxed geometry (PBE-GGA).

Cell and atoms, written as POSCAR:
```
LiNb2Cl6
1.0
3.386 0.000 0.000
-1.693 6.713 -2.669
0.000 -2.116 10.593
Li Cl Nb
1 6 2
Direct
0.000 0.000 0.500
0.647 0.294 0.613
0.668 0.336 0.088
0.969 0.938 0.229
0.332 0.664 0.912
0.353 0.706 0.387
0.031 0.062 0.771
0.311 0.621 0.127
0.689 0.379 0.873
```

Properties
Energy above the lowest structure with this stoichiometry: 0.000 eV per atom
Formation energy (no corrections): -1.369 eV/atom
M_tot: 0.00 Bohr magnetons per cell
Space-group type: C2/m, No. 12